# PBE-GGA Nd4Er4Tm3, relaxed
# calculated volume = 32.00 Å³/atom
# polymorph energy (0 for the lowest one) = 0 meV per atom
# size of the total moment = 0.00 Bohr magnetons per cell
# DOS(E_F) = 28.89 states/eV per cell
data_Nd4Er4Tm3
_chemical_formula_sum 'Nd8 Er8 Tm6'
_space_group_name_H-M_alt 'C 1 2/m 1'
_space_group_IT_number 12
_cell_length_a 11.828
_cell_length_b 3.565
_cell_length_c 16.693
_cell_angle_alpha 90.00
_cell_angle_beta 90.18
_cell_angle_gamma 90.00
loop_
_space_group_symop_operation_xyz
'x,y,z'
'-x,-y,-z'
'-x,y,-z'
'x,-y,z'
'x+1/2,y+1/2,z'
'-x+1/2,-y+1/2,-z'
'-x+1/2,y+1/2,-z'
'x+1/2,-y+1/2,z'
loop_
_atom_site_label
_atom_site_fract_x
_atom_site_fract_y
_atom_site_fract_z
_atom_site_occupancy
Nd1 0.046 0.000 0.180 1
Nd2 0.135 0.000 0.547 1
Er1 0.094 0.500 0.361 1
Er2 0.226 0.000 0.910 1
Tm1 0.000 0.500 0.000 1
Tm2 0.182 0.500 0.730 1